Record 1
Co4Si meta-GGA SCAN PBEsol geometry; DOS(E_F) = 3.7 states/eV/f.u.; SG = No. 87; size of the total moment = 6.1 μB/f.u.; E_form (uncorrected) = -0.126 eV per atom
1.0
3.481 0.000 0.000
1.740 3.839 0.000
1.740 0.000 3.839
Co Si
4 1
Cartesian
3.481 3.064 1.552 Co
3.481 0.775 2.287 Co
5.221 2.287 3.064 Co
1.740 1.552 0.775 Co
0.000 0.000 0.000 Si

***

Record 2
ZrScIn2 meta-GGA SCAN PBEsol geometry; energy above the lowest structure with this stoichiometry = 0 meV per atom; DOS(E_F) = 2.3 states/eV/f.u.; SG = No. 65; size of the total moment = 0.7 μB/f.u.
1.0
3.140 0.000 0.000
0.000 5.342 -0.028
0.000 -1.699 5.065
In Sc Zr
2 1 1
Cartesian
0.000 -0.849 2.533 In
0.000 2.671 -0.014 In
1.570 0.000 0.000 Sc
1.570 1.822 2.519 Zr

***

Record 3
Na2NbAs2 meta-GGA SCAN PBEsol geometry; DFT total energy = -16.61 eV/atom; DOS(E_F) = 2.3 states/eV/f.u.; SG = No. 127; size of the total moment = 1.7 μB/f.u.
1.0
-1.613 1.371 4.091
-5.142 -4.355 -0.569
3.699 -4.766 3.055
As Na Nb
4 4 2
Cartesian
-2.000 -6.798 1.489 As
1.339 -5.610 2.407 As
-2.782 -3.512 0.079 As
0.556 -2.323 0.998 As
-3.862 -4.552 2.595 Na
0.805 -3.199 3.982 Na
-1.134 -6.191 4.220 Na
-1.923 -1.560 2.358 Na
0.000 0.000 0.000 Nb
-0.722 -4.561 1.243 Nb

***

Record 4
ScAl2As meta-GGA SCAN PBEsol geometry; DFT total energy = -12.95 eV/atom; DOS(E_F) = 1.1 states/eV/f.u.; SG = No. 119; size of the total moment = 0.0 μB/f.u.
1.0
-3.896 -0.799 0.266
-0.175 -0.463 -3.955
2.928 -3.568 2.297
Al As Sc
2 1 1
Cartesian
-2.035 -0.631 -1.845 Al
-1.502 -2.499 0.359 Al
0.000 0.000 0.000 As
0.359 -2.331 -1.751 Sc

***

Record 5
Al3As meta-GGA SCAN PBEsol geometry; energy above the lowest structure with this stoichiometry = 0 meV per atom; DOS(E_F) = 1.5 states/eV/f.u.; SG = No. 63; size of the total moment = 0.0 μB/f.u.
1.0
-0.542 -2.208 -3.952
5.565 -2.323 0.535
0.871 -5.166 2.766
As Al
2 6
Cartesian
2.117 -2.823 -0.028 As
3.776 -6.874 -0.623 As
5.138 -3.486 -0.072 Al
2.736 -5.111 1.165 Al
0.446 -3.454 -2.077 Al
0.756 -6.211 -0.579 Al
3.157 -4.586 -1.816 Al
5.447 -6.242 1.425 Al

***

Record 6
Al5Zn4 meta-GGA SCAN PBEsol geometry; DFT total energy = -10.30 eV/atom; DOS(E_F) = 2.9 states/eV/f.u.; SG = No. 139; size of the total moment = 0.0 μB/f.u.
1.0
4.024 0.000 0.000
2.012 5.865 0.000
2.012 0.000 5.865
Zn Al
4 5
Cartesian
4.024 1.974 1.974 Zn
4.024 3.891 3.891 Zn
2.012 3.891 1.974 Zn
2.012 1.974 3.891 Zn
0.000 0.000 0.000 Al
4.024 0.000 3.890 Al
4.024 3.890 0.000 Al
2.012 0.000 1.976 Al
2.012 1.976 0.000 Al

***

Record 7
Y2FeSb meta-GGA SCAN PBEsol geometry; DOS(E_F) = 2.8 states/eV/f.u.; SG = No. 119; size of the total moment = 2.4 μB/f.u.; E_form (uncorrected) = -0.332 eV per atom
1.0
4.246 0.000 0.000
0.000 4.246 0.000
-2.123 -2.123 5.007
Sb Fe Y
1 1 2
Cartesian
0.000 2.123 2.503 Sb
2.123 2.123 0.000 Fe
0.000 0.000 0.000 Y
2.123 0.000 2.503 Y

***

Record 8
Li2CuRh meta-GGA SCAN PBEsol geometry; energy above the lowest structure with this stoichiometry = 42 meV per atom; DOS(E_F) = 2.1 states/eV/f.u.; SG = No. 65; size of the total moment = 0.1 μB/f.u.
1.0
2.570 -0.001 0.000
-1.138 2.305 0.000
0.000 0.000 8.578
Cu Li Rh
1 2 1
Cartesian
0.716 1.152 0.000 Cu
0.000 0.000 6.397 Li
0.000 0.000 2.181 Li
0.716 1.152 4.289 Rh

***

Record 9
Na2TeH5SO10 meta-GGA SCAN PBEsol geometry; DFT total energy = -8.40 eV/atom; SG = No. 9; size of the total moment = 1.1 μB/f.u.
1.0
5.417 0.000 -0.011
2.708 5.135 -0.005
1.039 0.000 14.812
H O Te S Na
10 20 2 2 4
Cartesian
6.167 4.917 7.521 H
5.506 4.807 13.113 H
2.279 2.549 7.298 H
5.507 2.586 14.698 H
1.058 1.371 1.868 H
2.939 0.218 0.120 H
2.278 0.328 5.713 H
2.523 3.149 1.021 H
5.751 1.985 8.422 H
4.286 3.764 9.269 H
6.999 1.973 11.146 O
2.946 3.441 0.139 O
6.174 1.694 7.539 O
5.548 3.856 11.649 O
6.890 4.881 8.241 O
4.948 4.810 6.471 O
1.792 2.730 2.373 O
3.662 0.254 0.840 O
3.771 3.162 3.746 O
0.821 0.411 1.650 O
3.180 2.953 7.107 O
5.075 0.208 5.674 O
4.728 1.591 11.999 O
6.408 2.182 14.507 O
2.759 0.325 13.882 O
8.303 4.927 13.074 O
6.917 3.544 4.588 O
2.320 1.279 4.249 O
5.020 2.405 9.773 O
4.049 4.724 9.050 O
3.180 4.880 7.348 Te
6.408 0.255 14.749 Te
2.396 2.669 3.753 S
5.623 2.466 11.153 S
5.011 2.548 5.614 Na
2.822 2.587 13.026 Na
3.229 0.589 10.220 Na
5.418 4.546 2.809 Na

***

Record 10
Ca5Bi3 meta-GGA SCAN PBEsol geometry; DFT total energy = -36.45 eV/atom; DOS(E_F) = 0.3 states/eV/f.u.; SG = No. 62; size of the total moment = 1.0 μB/f.u.
1.0
-2.470 4.514 6.573
-1.514 -8.122 5.009
11.888 0.379 4.208
Bi Ca
12 20
Cartesian
-2.373 -3.474 7.627 Bi
1.101 -3.805 3.707 Bi
5.406 -5.802 10.638 Bi
2.724 -1.736 11.985 Bi
5.180 -1.493 3.804 Bi
1.777 -1.291 7.536 Bi
6.803 0.576 12.083 Bi
0.380 -7.669 6.091 Bi
10.277 0.245 8.163 Bi
6.127 -1.937 8.254 Bi
7.524 4.441 9.699 Bi
2.498 2.573 5.152 Bi
6.915 -5.131 7.747 Ca
0.493 -4.447 6.916 Ca
3.124 -6.737 7.854 Ca
0.989 1.903 8.042 Ca
-1.512 -0.551 7.164 Ca
4.154 0.147 10.009 Ca
9.416 -2.677 8.626 Ca
8.311 -1.356 14.291 Ca
1.566 -0.509 4.307 Ca
-0.407 -1.873 1.499 Ca
0.059 -2.297 10.270 Ca
3.750 -3.376 5.781 Ca
-0.885 2.810 5.091 Ca
3.432 -3.491 9.353 Ca
8.789 -6.039 10.699 Ca
7.411 1.218 8.874 Ca
4.472 0.262 6.436 Ca
4.780 3.508 7.936 Ca
6.338 -2.720 11.483 Ca
7.845 -0.932 5.520 Ca

***

Record 11
CuAs4S3Cl meta-GGA SCAN PBEsol geometry; DOS(E_F) = 0.0 states/eV/f.u.; SG = No. 57; size of the total moment = 0.0 μB/f.u.; E_form (uncorrected) = -0.267 eV per atom
1.0
-3.789 -3.239 5.122
-0.237 -8.968 -5.846
9.251 -3.332 4.736
Cu S As Cl
4 12 16 4
Cartesian
4.880 -10.339 2.058 Cu
2.240 -3.580 -0.607 Cu
6.774 -8.720 -0.504 Cu
0.346 -5.200 1.954 Cu
6.470 -11.854 2.355 S
5.076 -9.050 -1.889 S
-1.698 -11.395 -0.982 S
3.242 -10.619 0.591 S
6.924 -4.144 4.994 S
0.149 -6.489 5.901 S
3.138 -5.083 6.587 S
0.590 -2.117 -0.823 S
1.983 -4.920 3.421 S
-1.244 -3.685 1.657 S
2.087 -10.456 -2.575 S
4.635 -13.422 4.835 S
2.889 -6.998 3.451 As
3.659 -7.411 -1.226 As
1.453 -8.453 -1.777 As
3.995 -11.042 -1.534 As
5.650 -13.940 2.844 As
8.348 -6.663 2.715 As
7.026 -7.793 4.502 As
2.337 -8.541 0.561 As
1.567 -8.128 5.238 As
-0.971 -9.882 0.513 As
-0.425 -1.599 1.168 As
-1.801 -7.746 -0.490 As
-3.123 -8.876 1.297 As
1.230 -4.497 5.546 As
6.196 -5.657 3.499 As
3.773 -7.086 5.789 As
1.378 -5.702 -0.093 Cl
5.979 -8.303 1.665 Cl
-0.754 -7.236 2.347 Cl
3.847 -9.837 4.105 Cl

***

Record 12
KAsPt2 meta-GGA SCAN PBEsol geometry; DFT total energy = -42.31 eV/atom; DOS(E_F) = 1.9 states/eV/f.u.; SG = No. 122; size of the total moment = 0.0 μB/f.u.
1.0
-5.874 -0.578 2.220
2.812 -5.253 -2.066
3.482 2.021 4.854
K As Pt
2 2 4
Cartesian
-1.962 -0.737 3.575 K
-1.531 -2.916 0.077 K
2.382 -3.074 1.432 As
0.000 0.000 0.000 As
-0.506 1.346 5.687 Pt
-1.192 -3.939 3.313 Pt
0.847 -1.329 1.733 Pt
1.692 -3.698 -0.718 Pt

***

Record 13
TlSbSeBr2 meta-GGA SCAN PBEsol geometry; DOS(E_F) = 0.6 states/eV/f.u.; SG = No. 123; size of the total moment = 0.0 μB/f.u.; E_form (uncorrected) = -0.413 eV per atom
1.0
5.328 0.000 0.000
0.000 5.572 0.000
0.000 0.000 5.572
Br Se Sb Tl
2 1 1 1
Cartesian
0.000 2.786 0.000 Br
0.000 0.000 2.786 Br
2.664 0.000 0.000 Se
0.000 0.000 0.000 Sb
2.664 2.786 2.786 Tl

***

Record 14
Rb2SbAuBr6 meta-GGA SCAN PBEsol geometry; DOS(E_F) = 1.2 states/eV/f.u.; SG = No. 225; size of the total moment = 0.0 μB/f.u.; E_form (uncorrected) = -1.018 eV per atom
1.0
-3.597 6.422 2.529
-7.317 -0.414 2.620
-1.473 0.903 7.589
Br Rb Sb Au
6 2 1 1
Cartesian
-6.749 1.542 4.515 Br
-8.528 4.718 5.765 Br
-4.910 4.923 4.470 Br
-5.638 5.369 8.223 Br
-3.859 2.193 6.972 Br
-7.478 1.989 8.268 Br
-3.097 1.728 3.184 Rb
-9.291 5.183 9.553 Rb
0.000 0.000 0.000 Sb
-6.194 3.456 6.369 Au

***

Record 15
ZnTcSe2 meta-GGA SCAN PBEsol geometry; energy above the lowest structure with this stoichiometry = 93 meV per atom; DOS(E_F) = 2.6 states/eV/f.u.; SG = No. 47; size of the total moment = 0.0 μB/f.u.; E_form (uncorrected) = 0.097 eV per atom
1.0
-3.211 -0.666 0.223
0.068 -1.565 -3.693
1.094 -4.609 1.973
Se Zn Tc
2 1 1
Cartesian
-1.025 -3.420 -0.749 Se
0.000 0.000 0.000 Se
0.547 -2.305 0.987 Zn
-1.571 -1.116 -1.735 Tc

***

Record 16
MgRu2Pb meta-GGA SCAN PBEsol geometry; DFT total energy = -37.00 eV/atom; DOS(E_F) = 3.6 states/eV/f.u.; SG = No. 65; size of the total moment = 0.0 μB/f.u.
1.0
2.971 -0.012 0.000
-1.236 2.701 0.000
0.000 0.000 8.594
Ru Pb Mg
2 1 1
Cartesian
0.000 0.000 6.425 Ru
0.000 0.000 2.169 Ru
0.867 1.345 0.000 Pb
0.867 1.345 4.297 Mg

***

Record 17
BaZn2 meta-GGA SCAN PBEsol geometry; DFT total energy = -22.35 eV/atom; DOS(E_F) = 2.2 states/eV/f.u.; SG = No. 12; size of the total moment = 0.0 μB/f.u.
1.0
4.179 0.000 0.000
0.000 6.609 -0.119
-2.090 -2.683 5.960
Ba Zn
2 4
Cartesian
2.090 3.655 3.880 Ba
0.000 0.271 1.960 Ba
0.000 3.537 1.178 Zn
2.090 4.596 0.100 Zn
0.000 -0.670 5.741 Zn
2.090 0.389 4.663 Zn

***

Record 18
ReHgW2 meta-GGA SCAN PBEsol geometry; DFT total energy = -69.06 eV/atom; DOS(E_F) = 1.7 states/eV/f.u.; SG = No. 123; size of the total moment = 0.0 μB/f.u.
1.0
3.955 0.000 0.000
0.000 3.955 0.000
0.000 0.000 4.067
Re W Hg
1 2 1
Cartesian
0.000 0.000 2.033 Re
1.978 0.000 0.000 W
0.000 1.978 0.000 W
1.978 1.978 2.033 Hg

***

Record 19
YIr2SeI meta-GGA SCAN PBEsol geometry; DOS(E_F) = 4.9 states/eV/f.u.; SG = No. 123; size of the total moment = 0.7 μB/f.u.; E_form (uncorrected) = 0.432 eV per atom
1.0
4.598 0.000 0.000
0.000 4.598 0.000
0.000 0.000 5.423
Ir Y I Se
2 1 1 1
Cartesian
2.299 0.000 0.000 Ir
0.000 2.299 0.000 Ir
0.000 0.000 2.712 Y
2.299 2.299 2.712 I
0.000 0.000 0.000 Se

***

Record 20
Sr4CrCo meta-GGA SCAN PBEsol geometry; DFT total energy = -19.67 eV/atom; DOS(E_F) = 5.2 states/eV/f.u.; SG = No. 216; size of the total moment = 6.8 μB/f.u.
1.0
6.755 0.000 0.000
3.377 5.850 0.000
3.377 1.950 5.515
Cr Sr Co
1 4 1
Cartesian
0.000 0.000 0.000 Cr
6.755 5.846 2.069 Sr
5.069 2.927 2.069 Sr
6.755 3.900 4.822 Sr
8.440 2.927 2.069 Sr
10.132 5.850 4.136 Co